Entry 1:
The following is a DFT calculation (GGA-PBE) of crystalline LaCeCu3 at its relaxed geometry.

## Properties
E_form ... -0.15 eV/atom
DOS(E_F) ... 29.36 states/eV per cell

Cell and atoms, written as CIF:
```
data_LaCeCu3
_symmetry_space_group_name_H-M 'C m c m'
_symmetry_Int_Tables_number 63
_symmetry_space_group_name_Hall '-C 2c 2'
_cell_length_a 3.7086
_cell_length_b 26.3887
_cell_length_c 4.3670
_cell_angle_alpha 90.00
_cell_angle_beta 90.00
_cell_angle_gamma 90.00
loop_
_atom_site_label
_atom_site_type_symbol
_atom_site_fract_x
_atom_site_fract_y
_atom_site_fract_z
La1 La 0.0000 0.0719 0.2500
Ce1 Ce 0.0000 0.2070 0.7500
Cu1 Cu 0.0000 0.3287 0.7500
Cu2 Cu 0.0000 0.3801 0.2500
Cu3 Cu 0.0000 0.4759 0.2500
```

=====

Entry 2:
The following is a DFT calculation (GGA-PBE) of crystalline KGaSn4 at its relaxed geometry.

## Properties
Distance to the lowest polymorph of the same formula ... 0.020 eV/f.u.
E_form ... 0.04 eV/atom
DOS(E_F) ... 10.10 states/eV per cell

Cell and atoms, written as CIF:
```
data_KGaSn4
_symmetry_space_group_name_H-M 'C m c m'
_symmetry_Int_Tables_number 63
_symmetry_space_group_name_Hall '-C 2c 2'
_cell_length_a 5.6404
_cell_length_b 15.9633
_cell_length_c 8.0982
_cell_angle_alpha 90.00
_cell_angle_beta 90.00
_cell_angle_gamma 90.00
loop_
_atom_site_label
_atom_site_type_symbol
_atom_site_fract_x
_atom_site_fract_y
_atom_site_fract_z
K1 K 0.0000 0.1095 0.2500
Ga1 Ga 0.0000 0.3666 0.2500
Sn1 Sn 0.0000 0.1024 0.7500
Sn2 Sn 0.0000 0.2785 0.5613
Sn3 Sn 0.0000 0.5000 0.0000
```

=====

Entry 3:
The following is a DFT calculation (GGA-PBE) of crystalline YPOs2 at its relaxed geometry.

## Properties
E_form ... -0.05 eV/atom
DOS(E_F) ... 17.80 states/eV per cell

Cell and atoms, written as CIF:
```
data_YPOs2
_symmetry_space_group_name_H-M 'R -3 m'
_symmetry_Int_Tables_number 166
_symmetry_space_group_name_Hall '-R 3 2"'
_cell_length_a 4.1797
_cell_length_b 4.1797
_cell_length_c 15.3906
_cell_angle_alpha 90.00
_cell_angle_beta 90.00
_cell_angle_gamma 120.00
loop_
_atom_site_label
_atom_site_type_symbol
_atom_site_fract_x
_atom_site_fract_y
_atom_site_fract_z
Y1 Y 0.0000 0.0000 0.0000
P1 P 0.0000 0.0000 0.5000
Os1 Os 0.0000 0.0000 0.1954
```

=====

Entry 4:
The following is a DFT calculation (GGA-PBE) of crystalline CaTlCu2 at its relaxed geometry.

## Properties
E_form ... -0.07 eV/atom
DOS(E_F) ... 2.99 states/eV per cell

Cell and atoms, written as CIF:
```
data_CaTlCu2
_symmetry_space_group_name_H-M 'C 1 m 1'
_symmetry_Int_Tables_number 8
_cell_length_a 7.5354
_cell_length_b 4.3035
_cell_length_c 5.9700
_cell_angle_alpha 90.00
_cell_angle_beta 114.70
_cell_angle_gamma 90.00
loop_
_symmetry_equiv_pos_as_xyz
'x,y,z'
'x,-y,z'
'x+1/2,y+1/2,z'
'x+1/2,-y+1/2,z'
loop_
_atom_site_label
_atom_site_type_symbol
_atom_site_fract_x
_atom_site_fract_y
_atom_site_fract_z
Ca1 Ca 0.0000 0.0000 0.0000
Tl1 Tl 0.1999 0.0000 0.6041
Cu1 Cu 0.2858 0.5000 0.3594
Cu2 Cu 0.4504 0.0000 0.3513
```

=====

Entry 5:
The following is a DFT calculation (GGA-PBE) of crystalline Er2TmZrN4 at its relaxed geometry.

## Properties
Energy relative to the elements, uncorrected ... -1392 kJ/mol of formula units
DOS(E_F) ... 1.07 states/eV per cell

Cell and atoms, written as CIF:
```
data_Er2TmZrN4
_symmetry_space_group_name_H-M 'P 1 2/m 1'
_symmetry_Int_Tables_number 10
_cell_length_a 5.8328
_cell_length_b 3.3648
_cell_length_c 5.8364
_cell_angle_alpha 90.00
_cell_angle_beta 109.30
_cell_angle_gamma 90.00
loop_
_symmetry_equiv_pos_as_xyz
'x,y,z'
'-x,-y,-z'
'-x,y,-z'
'x,-y,z'
loop_
_atom_site_label
_atom_site_type_symbol
_atom_site_fract_x
_atom_site_fract_y
_atom_site_fract_z
Er1 Er 0.0000 0.0000 0.0000
Er2 Er 0.5000 0.5000 0.0000
Tm1 Tm 0.0000 0.5000 0.5000
Zr1 Zr 0.5000 0.0000 0.5000
N1 N 0.2548 0.0000 0.7427
N2 N 0.2592 0.5000 0.2604
```

=====

Entry 6:
The following is a DFT calculation (GGA-PBE) of crystalline Th2Ni4SnGe3 at its relaxed geometry.

## Properties
E_form ... -0.67 eV/atom
DOS(E_F) ... 5.82 states/eV per cell

Cell and atoms, written as CIF:
```
data_Th2Ni4SnGe3
_symmetry_space_group_name_H-M 'P -4 m 2'
_symmetry_Int_Tables_number 115
_cell_length_a 4.2058
_cell_length_b 4.2058
_cell_length_c 9.9911
_cell_angle_alpha 90.00
_cell_angle_beta 90.00
_cell_angle_gamma 90.00
loop_
_symmetry_equiv_pos_as_xyz
'x,y,z'
'y,-x,-z'
'-x,-y,z'
'-y,x,-z'
'-x,y,z'
'-y,-x,-z'
'x,-y,z'
'y,x,-z'
loop_
_atom_site_label
_atom_site_type_symbol
_atom_site_fract_x
_atom_site_fract_y
_atom_site_fract_z
Th1 Th 0.0000 0.5000 0.2310
Ni1 Ni 0.0000 0.0000 0.0000
Ni2 Ni 0.0000 0.5000 0.6401
Ni3 Ni 0.5000 0.5000 0.0000
Sn1 Sn 0.0000 0.0000 0.5000
Ge1 Ge 0.0000 0.5000 0.8766
Ge2 Ge 0.5000 0.5000 0.5000
```

=====

Entry 7:
The following is a DFT calculation (GGA-PBE) of crystalline Hf3ZrBi3 at its relaxed geometry.

## Properties
E_form ... 0.03 eV/atom
DOS(E_F) ... 40.09 states/eV per cell

Cell and atoms, written as CIF:
```
data_Hf3ZrBi3
_symmetry_space_group_name_H-M 'R -3'
_symmetry_Int_Tables_number 148
_symmetry_space_group_name_Hall '-R 3'
_cell_length_a 7.6001
_cell_length_b 7.6001
_cell_length_c 22.6808
_cell_angle_alpha 90.00
_cell_angle_beta 90.00
_cell_angle_gamma 120.00
loop_
_atom_site_label
_atom_site_type_symbol
_atom_site_fract_x
_atom_site_fract_y
_atom_site_fract_z
Hf1 Hf 0.0227 0.7707 0.2048
Zr1 Zr 0.0000 0.0000 0.3299
Bi1 Bi 0.0338 0.6190 0.7346
```

=====

Entry 8:
The following is a DFT calculation (GGA-PBE) of crystalline Hf6Sn3Te at its relaxed geometry.

## Properties
Energy relative to the elements, uncorrected ... -113 kJ/mol of formula units
DOS(E_F) ... 26.05 states/eV per cell

Cell and atoms, written as CIF:
```
data_Hf6Sn3Te
_symmetry_space_group_name_H-M 'C m c 21'
_symmetry_Int_Tables_number 36
_cell_length_a 9.8701
_cell_length_b 13.9383
_cell_length_c 7.1817
_cell_angle_alpha 90.00
_cell_angle_beta 90.00
_cell_angle_gamma 90.00
loop_
_symmetry_equiv_pos_as_xyz
'x,y,z'
'-x,-y,z+1/2'
'-x,y,z'
'x,-y,z+1/2'
'x+1/2,y+1/2,z'
'-x+1/2,-y+1/2,z+1/2'
'-x+1/2,y+1/2,z'
'x+1/2,-y+1/2,z+1/2'
loop_
_atom_site_label
_atom_site_type_symbol
_atom_site_fract_x
_atom_site_fract_y
_atom_site_fract_z
Hf1 Hf 0.0000 0.0150 0.0000
Hf2 Hf 0.0000 0.2484 0.6441
Hf3 Hf 0.1601 0.4341 0.5823
Hf4 Hf 0.2009 0.2582 0.9789
Sn1 Sn 0.0000 0.4117 0.9241
Sn2 Sn 0.1955 0.0927 0.7354
Te1 Te 0.0000 0.1771 0.2611
```

=====

Entry 9:
The following is a DFT calculation (GGA-PBE) of crystalline Cu2TcIr at its relaxed geometry.

## Properties
Distance to the lowest polymorph of the same formula ... 0.789 eV/f.u.
E_form ... 0.23 eV/atom
DOS(E_F) ... 6.61 states/eV per cell

Cell and atoms, written as CIF:
```
data_Cu2TcIr
_symmetry_space_group_name_H-M 'C m m 2'
_symmetry_Int_Tables_number 35
_cell_length_a 2.7634
_cell_length_b 4.5056
_cell_length_c 8.8767
_cell_angle_alpha 90.00
_cell_angle_beta 90.00
_cell_angle_gamma 90.00
loop_
_symmetry_equiv_pos_as_xyz
'x,y,z'
'-x,-y,z'
'-x,y,z'
'x,-y,z'
'x+1/2,y+1/2,z'
'-x+1/2,-y+1/2,z'
'-x+1/2,y+1/2,z'
'x+1/2,-y+1/2,z'
loop_
_atom_site_label
_atom_site_type_symbol
_atom_site_fract_x
_atom_site_fract_y
_atom_site_fract_z
Cu1 Cu 0.0000 0.0000 0.0000
Cu2 Cu 0.0000 0.5000 0.2333
Tc1 Tc 0.0000 0.5000 0.7435
Ir1 Ir 0.0000 0.0000 0.4889
```

=====

Entry 10:
The following is a DFT calculation (GGA-PBE) of crystalline TiBeH3 at its relaxed geometry.

## Properties
Distance to the lowest polymorph of the same formula ... 1.184 eV/f.u.
DOS(E_F) ... 2.50 states/eV per cell

Cell and atoms, written as CIF:
```
data_TiBeH3
_symmetry_space_group_name_H-M 'P m -3 m'
_symmetry_Int_Tables_number 221
_symmetry_space_group_name_Hall '-P 4 2 3'
_cell_length_a 3.1414
_cell_length_b 3.1414
_cell_length_c 3.1414
_cell_angle_alpha 90.00
_cell_angle_beta 90.00
_cell_angle_gamma 90.00
loop_
_atom_site_label
_atom_site_type_symbol
_atom_site_fract_x
_atom_site_fract_y
_atom_site_fract_z
Ti1 Ti 0.0000 0.0000 0.0000
Be1 Be 0.5000 0.5000 0.5000
H1 H 0.0000 0.5000 0.5000
```

=====

Entry 11:
The following is a DFT calculation (GGA-PBE) of crystalline NiSb2P at its relaxed geometry.

## Properties
Energy relative to the elements, uncorrected ... 93 kJ/mol of formula units
DOS(E_F) ... 2.05 states/eV per cell

Cell and atoms, written as CIF:
```
data_NiSb2P
_symmetry_space_group_name_H-M 'P 1 2/m 1'
_symmetry_Int_Tables_number 10
_cell_length_a 2.9596
_cell_length_b 3.6194
_cell_length_c 7.4188
_cell_angle_alpha 90.00
_cell_angle_beta 90.06
_cell_angle_gamma 90.00
loop_
_symmetry_equiv_pos_as_xyz
'x,y,z'
'-x,-y,-z'
'-x,y,-z'
'x,-y,z'
loop_
_atom_site_label
_atom_site_type_symbol
_atom_site_fract_x
_atom_site_fract_y
_atom_site_fract_z
Ni1 Ni 0.0000 0.0000 0.0000
Sb1 Sb 0.4984 0.5000 0.2205
P1 P 0.5000 0.0000 0.5000
```

=====

| no. | final energy (Ha/atom) |
| --- | --- |
| 1 | -0.17567 |
| 2 | -0.12185 |
| 3 | -0.31711 |
| 4 | -0.11786 |
| 5 | -0.32100 |
| 6 | -0.22961 |
| 7 | -0.26152 |
| 8 | -0.27946 |
| 9 | -0.24339 |
| 10 | -0.15559 |
| 11 | -0.16967 |